This record from Alexandria describes crystalline BeIn2Tc2 at its relaxed geometry. The functional is GGA-PBE.

Geometry as extended XYZ:
```
10
Lattice="6.147 0.000 0.000 0.000 6.147 0.000 0.000 0.000 4.460" Properties=species:S:1:pos:R:3 pbc="T T T"
Be 0.000 0.000 0.000
Be 3.074 3.074 0.000
Tc 2.213 5.287 0.000
Tc 5.287 3.935 0.000
Tc 3.935 0.861 0.000
Tc 0.861 2.213 0.000
In 1.063 4.137 2.230
In 4.137 5.084 2.230
In 5.084 2.011 2.230
In 2.011 1.063 2.230
```

Summary:
V, Å³ per cell: 168.6
N(E_F), states/eV/f.u.: 4.8
E_tot, eV per atom: -5.830



This record from Alexandria describes crystalline BeIn3Tc at its relaxed geometry. The functional is GGA-PBE.

Geometry as extended XYZ:
```
5
Lattice="-1.701 2.505 -3.706 -1.685 -4.031 -1.952 -4.144 0.611 2.315" Properties=species:S:1:pos:R:3 pbc="T T T"
Be 0.000 0.000 0.000
Tc -3.765 -0.458 -1.671
In -0.842 -2.016 -0.976
In -2.072 0.305 1.158
In -0.851 1.253 -1.853
```

Summary:
V, Å³ per cell: 109.6
N(E_F), states/eV/f.u.: 3.7
E_tot, eV per atom: -3.528



This record from Alexandria describes crystalline Be2InTc at its relaxed geometry. The functional is GGA-PBE.

Geometry as extended XYZ:
```
4
Lattice="3.101 0.000 0.000 0.000 3.099 0.000 0.000 0.000 5.656" Properties=species:S:1:pos:R:3 pbc="T T T"
Be 0.000 0.000 5.271
Be 0.000 0.000 3.214
Tc 1.550 1.549 4.242
In 1.550 1.549 1.414
```

Summary:
V, Å³ per cell: 54.3
N(E_F), states/eV/f.u.: 2.6
E_tot, eV per atom: -5.033



This record from Alexandria describes crystalline Be2InTc at its relaxed geometry. The functional is GGA-PBE.

Geometry as extended XYZ:
```
4
Lattice="-2.351 4.779 -3.713 -1.539 -1.422 3.352 -0.275 3.088 1.187" Properties=species:S:1:pos:R:3 pbc="T T T"
Be 0.000 0.000 0.000
Be -1.313 3.934 -1.263
Tc -1.945 1.679 -0.180
In -0.907 0.833 2.270
```

Summary:
V, Å³ per cell: 51.7
N(E_F), states/eV/f.u.: 2.0
E_tot, eV per atom: -4.984



This record from Alexandria describes crystalline BeIn2Tc at its relaxed geometry. The functional is GGA-PBE.

Geometry as extended XYZ:
```
4
Lattice="2.972 0.028 0.000 -1.027 2.789 0.000 0.000 0.000 8.520" Properties=species:S:1:pos:R:3 pbc="T T T"
Be 0.972 1.408 6.390
Tc 0.972 1.408 2.130
In 0.000 0.000 8.438
In 0.000 0.000 4.342
```

Summary:
V, Å³ per cell: 70.9
N(E_F), states/eV/f.u.: 2.7
E_tot, eV per atom: -4.247



This record from Alexandria describes crystalline Be2InTc at its relaxed geometry. The functional is GGA-PBE.

Geometry as extended XYZ:
```
4
Lattice="4.639 -0.002 -0.001 1.552 4.372 0.001 -2.898 -2.465 2.654" Properties=species:S:1:pos:R:3 pbc="T T T"
Be 0.058 0.041 0.000
Be 3.038 2.144 0.000
Tc 0.875 2.046 1.328
In 2.418 -0.141 1.327
```

Summary:
V, Å³ per cell: 53.8
N(E_F), states/eV/f.u.: 2.6
E_tot, eV per atom: -4.840



This record from Alexandria describes crystalline BeIn2Tc at its relaxed geometry. The functional is GGA-PBE.

Geometry as extended XYZ:
```
4
Lattice="-1.986 3.662 -0.560 -2.256 -0.975 1.628 2.441 2.034 4.643" Properties=species:S:1:pos:R:3 pbc="T T T"
Be -0.854 2.625 4.424
Tc -0.947 2.096 1.288
In -1.692 -0.728 1.241
In -0.471 0.283 3.522
```

Summary:
V, Å³ per cell: 69.7
N(E_F), states/eV/f.u.: 2.5
E_tot, eV per atom: -4.386



This record from Alexandria describes crystalline Be2InTc at its relaxed geometry. The functional is GGA-PBE.

Geometry as extended XYZ:
```
4
Lattice="-1.988 -1.418 1.689 -0.850 -1.605 -2.348 4.256 -4.301 1.399" Properties=species:S:1:pos:R:3 pbc="T T T"
Be 0.029 -0.029 0.010
Be -0.647 -2.292 -0.076
Tc 2.065 -5.032 0.816
In 2.099 -2.121 0.690
```

Summary:
V, Å³ per cell: 54.7
N(E_F), states/eV/f.u.: 2.4
E_tot, eV per atom: -4.868



This record from Alexandria describes crystalline BeIn2Tc at its relaxed geometry. The functional is GGA-PBE.

Geometry as extended XYZ:
```
4
Lattice="-2.241 -0.722 1.770 1.062 -2.738 0.228 4.366 2.229 6.435" Properties=species:S:1:pos:R:3 pbc="T T T"
Be 2.685 -0.058 5.825
Tc 0.502 -1.173 2.608
In 4.335 2.213 6.389
In 2.214 1.131 3.264
```

Summary:
V, Å³ per cell: 70.2
N(E_F), states/eV/f.u.: 3.2
E_tot, eV per atom: -4.289



This record from Alexandria describes crystalline Be2InTc at its relaxed geometry. The functional is GGA-PBE.

Geometry as extended XYZ:
```
4
Lattice="-1.763 2.846 0.644 -2.491 -1.407 -0.604 -0.455 -1.476 5.278" Properties=species:S:1:pos:R:3 pbc="T T T"
Be -1.045 -1.721 4.746
Be -0.883 -1.196 2.869
Tc -3.091 -0.739 3.827
In -1.618 0.702 1.490
```

Summary:
V, Å³ per cell: 54.8
N(E_F), states/eV/f.u.: 1.0
E_tot, eV per atom: -4.973



This record from Alexandria describes crystalline BeIn2Tc at its relaxed geometry. The functional is GGA-PBE.

Geometry as extended XYZ:
```
4
Lattice="5.187 -0.005 0.000 2.230 4.683 0.000 -3.709 -2.339 2.772" Properties=species:S:1:pos:R:3 pbc="T T T"
Be 2.594 -0.003 1.386
Tc 3.709 2.339 0.000
In 0.000 0.000 0.000
In 1.115 2.342 1.386
```

Summary:
V, Å³ per cell: 67.4
N(E_F), states/eV/f.u.: 1.1
E_tot, eV per atom: -4.593



This record from Alexandria describes crystalline Be2InTe at its relaxed geometry. The functional is GGA-PBE.

Geometry as extended XYZ:
```
4
Lattice="3.275 0.000 0.000 0.000 3.275 0.000 0.000 0.000 7.642" Properties=species:S:1:pos:R:3 pbc="T T T"
Be 0.000 0.000 0.348
Be 1.638 1.638 1.375
Te 1.638 1.638 6.630
In 0.000 0.000 3.110
```

Summary:
V, Å³ per cell: 82.0
N(E_F), states/eV/f.u.: 1.6
Formation energy from raw total energies, meV per atom: 464
E_tot, eV per atom: -2.869